Entry 1:
A geometry-optimized ErAs3Rh5 structure. Source: Alexandria, functional PBE.

Cell: 6.730 6.730 12.665 Å, 90.00 90.00 146.66°
Fractional coordinates of all 18 atoms:
Er1 0.105 0.895 0.750
Er2 0.895 0.105 0.250
As1 0.126 0.874 0.250
As2 0.382 0.618 0.041
As3 0.382 0.618 0.459
As4 0.618 0.382 0.541
As5 0.618 0.382 0.959
As6 0.874 0.126 0.750
Rh1 0.000 0.000 0.000
Rh2 0.000 0.000 0.500
Rh3 0.203 0.797 0.074
Rh4 0.203 0.797 0.426
Rh5 0.452 0.548 0.645
Rh6 0.452 0.548 0.855
Rh7 0.548 0.452 0.145
Rh8 0.548 0.452 0.355
Rh9 0.797 0.203 0.574
Rh10 0.797 0.203 0.926

Properties
Symmetry: Cmcm (63)
Formation energy from the elements, eV/atom: -0.560
Total energy, eV/atom: -6.700



Entry 2:
A geometry-optimized FeRePb structure. Source: Alexandria, functional PBE.

Cell: 3.008 3.008 6.763 Å, 90.00 90.00 120.00°
Fractional coordinates of all 3 atoms:
Fe1 0.000 0.000 0.000
Re1 0.333 0.667 0.740
Pb1 0.667 0.333 0.358

Properties
Symmetry: P3m1 (156)
Formation energy from the elements, eV/atom: 0.775
Total energy, eV/atom: -7.431



Entry 3:
A geometry-optimized Mn6NbV5 structure. Source: Alexandria, functional PBE.

Cell: 6.507 6.507 5.825 Å, 90.00 90.00 143.14°
Fractional coordinates of all 12 atoms:
Mn1 0.000 0.000 0.242
Mn2 0.000 0.000 0.758
Mn3 0.330 0.670 0.246
Mn4 0.330 0.670 0.754
Mn5 0.670 0.330 0.246
Mn6 0.670 0.330 0.754
Nb1 0.500 0.500 0.500
V1 0.167 0.833 0.000
V2 0.170 0.830 0.500
V3 0.500 0.500 0.000
V4 0.830 0.170 0.500
V5 0.833 0.167 0.000

Properties
Symmetry: Cmmm (65)
Formation energy from the elements, eV/atom: -0.223
Total energy, eV/atom: -9.446



Entry 4:
A geometry-optimized InAuI2 structure. Source: Alexandria, functional PBE.

Cell: 5.513 5.513 24.853 Å, 90.00 90.00 120.00°
Fractional coordinates of all 12 atoms:
In1 0.000 0.000 0.000
In2 0.333 0.667 0.667
In3 0.667 0.333 0.333
Au1 0.000 0.000 0.500
Au2 0.333 0.667 0.167
Au3 0.667 0.333 0.833
I1 0.000 0.000 0.396
I2 0.000 0.000 0.604
I3 0.333 0.667 0.063
I4 0.333 0.667 0.270
I5 0.667 0.333 0.730
I6 0.667 0.333 0.937

Properties
Symmetry: R-3m (166)
Formation energy without anion corrections, meV/atom: -223.4
Total energy, eV/atom: -2.502



Entry 5:
A geometry-optimized PmSmEu2 structure. Source: Alexandria, functional PBE.

Cell: 3.699 3.699 10.736 Å, 90.00 90.00 90.00°
Fractional coordinates of all 4 atoms:
Pm1 0.000 0.000 0.000
Sm1 0.000 0.000 0.500
Eu1 0.500 0.500 0.251
Eu2 0.500 0.500 0.749

Properties
Symmetry: P4/mmm (123)
Formation energy from the elements, eV/atom: 0.100
Total energy, eV/atom: -7.405



no.,density of states at the Fermi level (states/eV per atom)
1,0.58
2,1.14
3,0.36
4,0.00
5,1.29